# MnCd

A relaxed MnCd crystal (GGA-PBE, Alexandria via LeMat-Bulk).

Calculated values
Total magnetic moment = 1.965 μB/atom
Space-group type = I-43m
Energy of formation = 93 kJ/mol of atoms

Geometry as CIF:
```
data_MnCd
_chemical_formula_sum 'Mn8 Cd8'
_symmetry_space_group_name_H-M 'P 1'
_symmetry_Int_Tables_number 1
_cell_length_a 8.370
_cell_length_b 8.370
_cell_length_c 8.370
_cell_angle_alpha 90.00
_cell_angle_beta 90.00
_cell_angle_gamma 90.00
loop_
_symmetry_equiv_pos_as_xyz
'x,y,z'
loop_
_atom_site_label
_atom_site_fract_x
_atom_site_fract_y
_atom_site_fract_z
_atom_site_occupancy
Mn1 0.110 0.110 0.110 1
Mn2 0.110 0.890 0.890 1
Mn3 0.390 0.390 0.610 1
Mn4 0.390 0.610 0.390 1
Mn5 0.610 0.390 0.390 1
Mn6 0.610 0.610 0.610 1
Mn7 0.890 0.110 0.890 1
Mn8 0.890 0.890 0.110 1
Cd1 0.204 0.204 0.796 1
Cd2 0.204 0.796 0.204 1
Cd3 0.296 0.296 0.296 1
Cd4 0.296 0.704 0.704 1
Cd5 0.704 0.296 0.704 1
Cd6 0.704 0.704 0.296 1
Cd7 0.796 0.204 0.204 1
Cd8 0.796 0.796 0.796 1
```